<A>
Here is an optimized crystal structure of AgSnAu from Alexandria. Energies are from PBE.

The structure in POSCAR format:
```
AgSnAu
1.0
-1.6685 -2.4935 -0.8306
3.1525 -2.8653 2.2688
-3.8121 1.7573 2.3823
Au Ag Sn
1 1 1
Cartesian
-1.3924 -2.0808 -0.6931 Au
-2.0436 -0.6100 2.0692 Ag
-0.5606 -3.4040 1.6139 Sn
```

Results
theoretical density = 11.20 g/cm3

<B>
Here is an optimized crystal structure of AgSnAu from Alexandria. Energies are from PBE.

The structure in POSCAR format:
```
AgSnAu
1.0
4.8772 0.0000 0.0000
-2.4386 4.1938 -1.2088
0.0000 -0.3661 6.2582
Au Ag Sn
2 2 2
Cartesian
0.0000 3.8395 2.7526 Au
0.0000 1.1644 0.9640 Au
2.4386 2.7143 4.1329 Ag
0.0000 3.8028 -0.4479 Ag
2.4386 2.6647 0.9361 Sn
0.0000 1.1309 3.9861 Sn
```

Results
theoretical density = 11.18 g/cm3

Stability check: which of them is least stable? <A>.

<A>
Here is an optimized crystal structure of Ag2SnAu5 from Alexandria. Energies are from PBE.

The structure in POSCAR format:
```
Ag2SnAu5
1.0
4.4045 0.0000 0.0000
0.0000 5.7730 0.0000
0.0000 0.0000 11.7648
Au Ag Sn
10 4 2
Cartesian
2.2022 4.1991 10.3234 Au
0.0000 2.7226 8.8263 Au
0.0000 2.8865 5.8824 Au
0.0000 0.0000 0.0000 Au
0.0000 3.0505 2.9385 Au
2.2022 4.4604 4.4410 Au
0.0000 0.1639 2.9439 Au
0.0000 5.6091 8.8209 Au
2.2022 1.5739 1.4415 Au
2.2022 1.3126 7.3239 Au
2.2022 4.4949 1.5381 Ag
2.2022 1.2781 10.2268 Ag
2.2022 4.1646 7.4205 Ag
2.2022 1.6084 4.3444 Ag
0.0000 0.0000 5.8824 Sn
0.0000 2.8865 0.0000 Sn
```

Results
theoretical density = 14.65 g/cm3

<B>
Here is an optimized crystal structure of Ag2SnAu5 from Alexandria. Energies are from PBE.

The structure in POSCAR format:
```
Ag2SnAu5
1.0
-5.7947 4.5417 0.6853
-2.8431 -2.6801 -6.2777
1.5773 -4.8698 5.7195
Au Ag Sn
10 4 2
Cartesian
-4.2407 2.0464 2.3428 Au
-4.3189 0.9308 -2.7962 Au
-3.6109 -2.3621 -3.0069 Au
0.0000 0.0000 0.0000 Au
-3.4495 -0.6461 3.1340 Au
-3.3623 -0.1028 0.2707 Au
-2.8198 -5.0546 -2.2157 Au
-3.6982 -2.9055 -0.1435 Au
-6.0201 -0.0921 1.4698 Au
-1.0404 -2.9161 -1.3427 Au
-4.1502 2.5409 -0.4685 Ag
-4.4875 -0.6793 -5.1239 Ag
-1.8497 -0.2926 -2.1289 Ag
-6.7881 2.1542 -3.4635 Ag
-5.6897 -1.0387 -1.3345 Sn
-1.3708 -1.9695 1.4617 Sn
```

Results
theoretical density = 14.26 g/cm3

Stability check: which of them is least stable? <B>.

<A>
Here is an optimized crystal structure of Ag6SnAu5 from Alexandria. Energies are from PBE.

The structure in POSCAR format:
```
Ag6SnAu5
1.0
9.7728 -0.9993 0.0000
1.4905 4.8956 0.0000
0.7453 2.4478 4.4908
Ag Au Sn
6 5 1
Cartesian
2.8509 0.9754 0.0000 Ag
7.6657 0.4863 1.5073 Ag
8.4125 2.9209 0.0000 Ag
8.4110 2.9341 2.9835 Ag
3.5976 3.4100 1.5073 Ag
4.3429 5.8578 2.9835 Ag
1.4905 4.8956 2.9943 Au
5.6317 1.9482 0.0000 Au
5.6317 1.9482 3.0006 Au
6.3769 4.3959 1.4903 Au
0.7453 2.4478 1.4965 Au
0.0000 0.0000 0.0000 Sn
```

Results
theoretical density = 13.12 g/cm3

<B>
Here is an optimized crystal structure of Ag6SnAu5 from Alexandria. Energies are from PBE.

The structure in POSCAR format:
```
Ag6SnAu5
1.0
-3.9139 -1.1655 1.1415
-0.9500 -4.0937 -7.4350
4.6811 -2.4599 5.6616
Ag Au Sn
6 5 1
Cartesian
0.0486 -4.7696 -4.7016 Ag
-2.6624 -3.6223 -4.9496 Ag
-0.2314 -2.9496 4.0697 Ag
0.5167 -2.7530 -1.0391 Ag
-2.2015 -1.6369 -1.3439 Ag
-0.6995 -4.9662 0.4073 Ag
-1.2086 -2.2761 1.4075 Au
-1.6811 -4.3286 -2.3072 Au
-0.4750 -2.0468 -3.7175 Au
1.0258 -5.4431 -2.0393 Au
1.4983 -3.3905 1.6754 Au
0.0000 0.0000 0.0000 Sn
```

Results
theoretical density = 13.15 g/cm3

Stability check: which of them is least stable? <A>.

<A>
Here is an optimized crystal structure of Ag6SnAu from Alexandria. Energies are from PBE.

The structure in POSCAR format:
```
Ag6SnAu
1.0
4.2335 0.0000 0.0000
0.0000 4.2335 0.0000
0.0000 0.0000 8.3323
Ag Au Sn
6 1 1
Cartesian
2.1168 0.0000 6.1903 Ag
2.1168 0.0000 2.1420 Ag
2.1168 2.1168 0.0000 Ag
2.1168 2.1168 4.1662 Ag
0.0000 2.1168 2.1420 Ag
0.0000 2.1168 6.1903 Ag
0.0000 0.0000 4.1662 Au
0.0000 0.0000 0.0000 Sn
```

Results
theoretical density = 10.71 g/cm3

<B>
Here is an optimized crystal structure of Ag6SnAu from Alexandria. Energies are from PBE.

The structure in POSCAR format:
```
Ag6SnAu
1.0
-1.7141 1.9563 -4.1662
1.9165 -4.7271 -3.0083
-5.4687 0.0454 2.2714
Sn Ag Au
1 6 1
Cartesian
-3.2496 -0.9643 -2.0109 Sn
-2.2877 -3.3260 -3.5156 Ag
-0.5159 -0.9909 -3.1481 Ag
-2.1147 -0.3528 0.7044 Ag
0.4402 -3.3488 -4.6487 Ag
-3.9162 -2.7271 0.3307 Ag
-1.1427 -2.7502 -0.8213 Ag
-4.8530 -0.3525 1.8312 Au
```

Results
theoretical density = 10.72 g/cm3

Stability check: which of them is least stable? <A>.

<A>
Here is an optimized crystal structure of AgSn2Au6 from Alexandria. Energies are from PBE.

The structure in POSCAR format:
```
AgSn2Au6
1.0
4.5840 -0.0002 -0.0002
0.0003 6.2740 -4.4378
0.0003 -1.3758 7.5607
Au Sn Ag
6 2 1
Cartesian
0.0004 3.3031 2.1059 Au
0.0001 1.3887 -0.7942 Au
0.0001 -0.1340 1.5941 Au
2.2923 1.9728 1.2578 Au
2.2922 -0.2484 3.3489 Au
2.2922 2.9313 -1.6384 Au
4.5843 1.4666 4.1332 Sn
4.5843 4.3660 -0.4145 Sn
2.2925 4.5455 2.8980 Ag
```

Results
theoretical density = 13.38 g/cm3

<B>
Here is an optimized crystal structure of AgSn2Au6 from Alexandria. Energies are from PBE.

The structure in POSCAR format:
```
AgSn2Au6
1.0
5.0898 -0.4670 -0.2703
-0.6919 6.0895 -0.9134
-0.6919 2.2419 5.7350
Au Sn Ag
6 2 1
Cartesian
0.8878 6.8839 3.9839 Au
0.6883 3.9968 3.9923 Au
2.8182 0.9806 0.5675 Au
0.6883 5.4528 1.4764 Au
3.0177 2.4117 3.0750 Au
3.0177 3.8677 0.5591 Au
3.3484 5.3049 3.0701 Sn
0.3576 2.5596 1.4813 Sn
0.0000 0.0000 0.0000 Ag
```

Results
theoretical density = 13.68 g/cm3

Stability check: which of them is least stable? <A>.

<A>
Here is an optimized crystal structure of Ag6SnAu3 from Alexandria. Energies are from PBE.

The structure in POSCAR format:
```
Ag6SnAu3
1.0
-4.3244 -0.1050 3.6907
-6.0716 -0.1696 -7.1188
4.0529 -7.1044 4.5466
Au Ag Sn
6 12 2
Cartesian
-4.6597 -6.8816 2.8844 Au
-3.3747 -2.2514 4.5217 Au
-3.6277 -0.5446 -0.1064 Au
-4.7728 -3.0886 0.1167 Au
-4.9126 -5.1749 -1.7437 Au
-0.8065 -4.2719 0.3500 Au
0.5037 -7.0755 7.2503 Ag
-2.1124 -4.7029 -2.1463 Ag
-6.4807 -0.8118 -0.2551 Ag
-2.4134 -4.9999 3.6701 Ag
-7.1341 -0.3105 -5.8865 Ag
-2.5251 -2.6347 1.8092 Ag
-0.6432 -6.5862 2.0401 Ag
-7.2525 -3.5927 -1.2384 Ag
-1.3384 -1.9140 -1.1601 Ag
-3.9984 -2.3808 -2.4928 Ag
0.1286 -3.8053 3.0234 Ag
-3.2991 -5.4236 0.8230 Ag
2.2031 -5.9806 2.8203 Sn
-6.7878 -1.3557 -3.2024 Sn
```

Results
theoretical density = 11.74 g/cm3

<B>
Here is an optimized crystal structure of Ag6SnAu3 from Alexandria. Energies are from PBE.

The structure in POSCAR format:
```
Ag6SnAu3
1.0
-3.6544 -1.8926 0.4977
3.7019 -8.0406 -3.3950
2.4889 -2.4953 8.7853
Au Ag Sn
6 12 2
Cartesian
1.8589 -6.4893 -2.3959 Au
2.3784 -5.2871 5.9895 Au
0.1580 -7.1415 -0.1015 Au
0.6775 -5.9393 8.2839 Au
0.4252 -6.5408 4.1443 Au
2.1112 -5.8878 1.7436 Au
-0.4233 -4.4050 6.0365 Ag
1.2945 -3.8081 3.6553 Ag
3.2061 -7.3776 4.1175 Ag
1.0142 -9.2959 -2.0071 Ag
2.9596 -8.0236 -0.1486 Ag
1.5284 -8.0686 6.4354 Ag
1.5222 -3.1328 7.8950 Ag
0.1523 -2.2312 1.2650 Ag
2.3841 -10.1974 4.6229 Ag
1.2419 -8.6205 2.2326 Ag
1.0079 -4.3601 -0.5475 Ag
-0.6697 -5.0510 1.7704 Ag
-1.5495 -2.8806 3.5643 Sn
4.0858 -9.5480 2.3237 Sn
```

Results
theoretical density = 12.11 g/cm3

Stability check: which of them is least stable? <A>.

<A>
Here is an optimized crystal structure of Ag3SnAu from Alexandria. Energies are from PBE.

The structure in POSCAR format:
```
Ag3SnAu
1.0
-3.0342 -3.3221 -3.3103
5.7928 -5.1642 -0.1270
-2.3787 -5.3844 7.5838
Sn Au Ag
4 4 12
Cartesian
1.1592 -11.5231 4.1891 Sn
-1.0349 -6.7821 -0.0708 Sn
1.4148 -7.0887 4.2173 Sn
-0.7793 -2.3477 -0.0426 Sn
0.1215 -4.6441 -1.2718 Au
1.0251 -10.7981 1.5800 Au
0.2584 -9.2266 5.4184 Au
-0.6452 -3.0727 2.5665 Au
-0.1874 -6.7634 6.9255 Ag
2.4144 -6.2849 -0.5836 Ag
-2.0345 -7.5859 4.7301 Ag
0.5566 -9.1122 -0.7559 Ag
-0.4019 -8.3312 2.4608 Ag
3.0043 -10.2495 5.9765 Ag
-2.6244 -3.6213 -1.8300 Ag
-2.0231 -5.5801 2.7079 Ag
-0.1767 -4.7585 4.9025 Ag
2.4030 -8.2906 1.4386 Ag
0.5673 -7.1073 -2.7790 Ag
0.7818 -5.5396 1.6857 Ag
```

Results
theoretical density = 10.36 g/cm3

<B>
Here is an optimized crystal structure of Ag3SnAu from Alexandria. Energies are from PBE.

The structure in POSCAR format:
```
Ag3SnAu
1.0
-2.8227 -0.6339 -0.1676
2.0063 -8.8841 -0.1887
-0.4475 -0.2679 8.5525
Ag Sn Au
6 2 2
Cartesian
-0.9455 -2.7553 1.2930 Ag
0.2969 -9.3716 5.3923 Ag
-0.0191 -6.8561 1.1996 Ag
0.0897 -2.2716 7.0814 Ag
0.8535 -4.5393 2.7933 Ag
1.1696 -7.0548 6.9860 Ag
0.7059 -4.6175 5.5766 Sn
-1.5617 -0.4093 2.7977 Sn
-1.8569 -0.5863 8.4400 Au
1.0011 -4.4405 -0.0657 Au
```

Results
theoretical density = 9.39 g/cm3

Stability check: which of them is least stable? <B>.

<A>
Here is an optimized crystal structure of Ag4SnAu5 from Alexandria. Energies are from PBE.

The structure in POSCAR format:
```
Ag4SnAu5
1.0
-0.1898 2.5347 4.7252
-5.7330 -0.9836 3.3437
2.3509 -3.6633 5.1057
Ag Au Sn
4 5 1
Cartesian
-0.6445 -1.5283 3.5706 Ag
-0.7683 -2.0668 6.9007 Ag
-2.7867 -0.2698 5.8557 Ag
-2.9105 -0.8082 9.1858 Ag
-0.1282 1.7129 3.1932 Au
-0.2920 -1.5127 9.6560 Au
0.0747 0.2506 5.6786 Au
-3.2623 -0.8345 3.0804 Au
-3.6289 -2.5978 7.0578 Au
-0.0374 0.4993 0.9309 Sn
```

Results
theoretical density = 12.56 g/cm3

<B>
Here is an optimized crystal structure of Ag4SnAu5 from Alexandria. Energies are from PBE.

The structure in POSCAR format:
```
Ag4SnAu5
1.0
3.5565 0.0000 0.0000
0.0000 3.5565 0.0000
0.0000 0.0000 14.8668
Au Sn Ag
5 1 4
Cartesian
1.7783 1.7783 1.6149 Au
1.7783 1.7783 10.3248 Au
1.7783 1.7783 4.5420 Au
1.7783 1.7783 13.2519 Au
1.7783 1.7783 7.4334 Au
0.0000 0.0000 0.0000 Sn
0.0000 0.0000 3.0804 Ag
0.0000 0.0000 5.9816 Ag
0.0000 0.0000 8.8852 Ag
0.0000 0.0000 11.7864 Ag
```

Results
theoretical density = 13.55 g/cm3

Stability check: which of them is least stable? <A>.

<A>
Here is an optimized crystal structure of AgSnAu5 from Alexandria. Energies are from PBE.

The structure in POSCAR format:
```
AgSnAu5
1.0
5.5621 0.5421 -0.5201
2.2787 5.1028 -0.5201
2.3078 1.6615 9.8820
Au Ag Sn
10 2 2
Cartesian
3.7648 3.1320 4.9351 Au
2.9947 1.3355 2.8623 Au
3.0107 1.7460 -0.0059 Au
6.7781 4.0593 1.0384 Au
6.3838 4.1744 3.9066 Au
3.3705 3.2470 7.8033 Au
7.1379 5.5604 8.8476 Au
7.1539 5.9709 5.9794 Au
5.6022 1.7032 1.9504 Au
4.5465 5.6031 6.8913 Au
3.9914 3.9405 1.9504 Ag
6.1572 3.3658 6.8913 Ag
0.0000 0.0000 0.0000 Sn
1.1539 0.8307 4.9410 Sn
```

Results
theoretical density = 14.55 g/cm3

<B>
Here is an optimized crystal structure of AgSnAu5 from Alexandria. Energies are from PBE.

The structure in POSCAR format:
```
AgSnAu5
1.0
-3.7628 -0.5499 3.6744
0.0676 -4.7234 -2.3765
8.7899 -0.4405 5.8681
Ag Au Sn
2 10 2
Cartesian
0.4591 -2.8657 1.9435 Ag
4.6356 -2.8480 5.2225 Ag
-0.8428 -0.4229 3.0245 Au
7.5452 -3.1060 5.2401 Au
3.0770 -4.0619 3.0709 Au
3.2661 -1.3558 7.3859 Au
2.0178 -1.6518 4.0951 Au
1.8286 -4.3579 -0.2200 Au
5.7560 -3.0443 2.4772 Au
-0.6613 -2.6694 4.6888 Au
-2.4505 -2.6077 1.9258 Au
5.9375 -5.2908 4.1415 Au
0.0000 0.0000 0.0000 Sn
4.3949 -0.2202 2.9340 Sn
```

Results
theoretical density = 14.77 g/cm3

Stability check: which of them is least stable? <A>.

<A>
Here is an optimized crystal structure of Ag7SnAu4 from Alexandria. Energies are from PBE.

The structure in POSCAR format:
```
Ag7SnAu4
1.0
-4.8908 -0.0893 -1.6445
3.2069 -3.6919 1.6483
-6.8901 3.0773 9.2423
Au Ag Sn
4 7 1
Cartesian
-4.4547 -0.2794 2.4930 Au
-5.8083 0.3298 9.0396 Au
-2.7657 -1.0337 0.2064 Au
-4.1193 -0.4246 6.7530 Au
-6.5777 0.6641 0.6199 Ag
-6.2690 0.5308 4.8751 Ag
-7.9432 1.2786 7.1897 Ag
-0.6308 -1.9826 2.0563 Ag
-1.9963 -1.3680 8.6261 Ag
0.0000 0.0000 0.0000 Ag
-2.3050 -1.2348 4.3710 Ag
-3.4451 1.5386 4.6211 Sn
```

Results
theoretical density = 12.49 g/cm3

<B>
Here is an optimized crystal structure of Ag7SnAu4 from Alexandria. Energies are from PBE.

The structure in POSCAR format:
```
Ag7SnAu4
1.0
-2.8988 -0.2755 4.2511
4.4248 -5.7696 5.7661
1.0799 4.0135 4.1193
Ag Sn Au
7 1 4
Cartesian
2.2655 -0.1613 7.7800 Ag
2.9563 -2.3144 4.9886 Ag
2.2577 -3.4960 10.6813 Ag
-1.4494 -0.1378 2.1256 Ag
-0.3503 0.2827 9.1479 Ag
0.3484 1.4642 3.4552 Ag
0.3405 -1.8704 6.3565 Ag
0.0000 0.0000 0.0000 Sn
-0.0285 0.9110 6.2852 Au
1.8870 -0.6751 10.6113 Au
0.7190 -1.3566 3.5252 Au
2.6346 -2.9427 7.8513 Au
```

Results
theoretical density = 11.44 g/cm3

Stability check: which of them is least stable? <B>.